Entry 1:
Density functional theory data (PBE) for a relaxed structure of SrOs2W.

POSCAR file:
```
SrOs2W
1.0
2.884 0.000 0.000
0.000 4.097 0.000
-1.349 0.000 6.775
Sr Os W
1 2 1
Cartesian
0.000 0.000 0.000 Sr
0.217 2.048 4.596 Os
1.318 2.048 2.179 Os
-0.675 0.000 3.387 W
```

Values from the calculation:
Energy relative to the lowest polymorph listed for this composition: 0.954 eV/f.u.
Total DFT energy (no corrections): -8.581 eV per atom
Symmetry: P2/m, No. 10
Energy of formation from the pure elements: 0.69 eV per atom

Entry 2:
Density functional theory data (PBE) for a relaxed structure of SrOs2W.

POSCAR file:
```
SrOs2W
1.0
6.524 0.000 0.000
0.000 6.524 0.000
0.000 0.000 6.524
Sr Os W
4 8 4
Cartesian
0.000 0.000 0.000 Sr
0.000 3.262 3.262 Sr
3.262 0.000 3.262 Sr
3.262 3.262 0.000 Sr
0.000 0.000 3.262 Os
0.000 3.262 0.000 Os
1.631 1.631 1.631 Os
1.631 4.893 4.893 Os
3.262 0.000 0.000 Os
3.262 3.262 3.262 Os
4.893 1.631 4.893 Os
4.893 4.893 1.631 Os
1.631 1.631 4.893 W
1.631 4.893 1.631 W
4.893 1.631 1.631 W
4.893 4.893 4.893 W
```

Values from the calculation:
Energy relative to the lowest polymorph listed for this composition: 2.882 eV/f.u.
Total DFT energy (no corrections): -8.099 eV per atom
Symmetry: F-43m, No. 216
Energy of formation from the pure elements: 1.18 eV per atom

Entry 3:
Density functional theory data (PBE) for a relaxed structure of Sr2OsW.

POSCAR file:
```
Sr2OsW
1.0
3.525 0.000 0.000
0.000 3.525 0.000
0.000 0.000 9.359
Sr Os W
2 1 1
Cartesian
0.000 0.000 0.000 Sr
1.763 1.763 3.665 Sr
1.763 1.763 6.841 Os
0.000 0.000 6.225 W
```

Values from the calculation:
Energy relative to the lowest polymorph listed for this composition: 0.734 eV/f.u.
Total DFT energy (no corrections): -6.365 eV per atom
Symmetry: P4mm, No. 99
Energy of formation from the pure elements: 0.52 eV per atom

Entry 4:
Density functional theory data (PBE) for a relaxed structure of Sr2OsW.

POSCAR file:
```
Sr2OsW
1.0
2.994 0.000 0.000
0.000 5.215 0.000
0.000 0.000 5.624
Sr Os W
2 1 1
Cartesian
0.000 0.000 1.386 Sr
0.000 0.000 4.238 Sr
1.497 2.607 0.000 Os
1.497 2.607 2.812 W
```

Values from the calculation:
Energy relative to the lowest polymorph listed for this composition: 3.734 eV/f.u.
Total DFT energy (no corrections): -5.615 eV per atom
Symmetry: Pmmm, No. 47
Energy of formation from the pure elements: 1.27 eV per atom

Entry 5:
Density functional theory data (PBE) for a relaxed structure of Sr2OsW.

POSCAR file:
```
Sr2OsW
1.0
2.927 0.000 0.000
0.000 2.927 0.000
0.000 0.000 10.377
Sr Os W
2 1 1
Cartesian
0.000 0.000 2.448 Sr
0.000 0.000 7.929 Sr
1.463 1.463 0.000 Os
1.463 1.463 5.188 W
```

Values from the calculation:
Energy relative to the lowest polymorph listed for this composition: 3.764 eV/f.u.
Total DFT energy (no corrections): -5.607 eV per atom
Symmetry: P4/mmm, No. 123
Energy of formation from the pure elements: 1.28 eV per atom

Entry 6:
Density functional theory data (PBE) for a relaxed structure of SrOs2W.

POSCAR file:
```
SrOs2W
1.0
2.887 0.000 0.000
-1.443 2.500 0.000
0.000 0.000 29.398
Sr Os W
3 6 3
Cartesian
0.000 0.000 0.000 Sr
0.000 1.667 19.599 Sr
1.443 0.833 9.799 Sr
0.000 0.000 7.038 Os
0.000 0.000 22.360 Os
0.000 1.667 12.560 Os
0.000 1.667 26.637 Os
1.443 0.833 2.761 Os
1.443 0.833 16.838 Os
0.000 0.000 14.699 W
0.000 1.667 4.900 W
1.443 0.833 24.498 W
```

Values from the calculation:
Energy relative to the lowest polymorph listed for this composition: 1.252 eV/f.u.
Total DFT energy (no corrections): -8.506 eV per atom
Symmetry: R-3m, No. 166
Energy of formation from the pure elements: 0.77 eV per atom

Entry 7:
Density functional theory data (PBE) for a relaxed structure of Sr2OsW.

POSCAR file:
```
Sr2OsW
1.0
3.740 0.000 0.000
0.000 5.483 0.000
0.000 0.000 10.879
Sr Os W
4 2 2
Cartesian
0.000 0.000 0.000 Sr
0.000 2.742 2.329 Sr
1.870 0.000 7.769 Sr
1.870 2.742 5.440 Sr
0.000 2.742 8.420 Os
1.870 0.000 2.980 Os
0.000 0.000 4.460 W
1.870 2.742 9.900 W
```

Values from the calculation:
Energy relative to the lowest polymorph listed for this composition: 1.177 eV/f.u.
Total DFT energy (no corrections): -6.254 eV per atom
Symmetry: Imm2, No. 44
Energy of formation from the pure elements: 0.63 eV per atom

Entry 8:
Density functional theory data (PBE) for a relaxed structure of SrOs2W.

POSCAR file:
```
SrOs2W
1.0
2.825 0.000 0.000
0.000 2.825 0.000
0.000 0.000 9.242
Sr Os W
1 2 1
Cartesian
0.000 0.000 0.000 Sr
0.000 0.000 4.972 Os
1.412 1.412 6.640 Os
1.412 1.412 2.852 W
```

Values from the calculation:
Energy relative to the lowest polymorph listed for this composition: 1.066 eV/f.u.
Total DFT energy (no corrections): -8.553 eV per atom
Symmetry: P4mm, No. 99
Energy of formation from the pure elements: 0.72 eV per atom

Entry 9:
Density functional theory data (PBE) for a relaxed structure of SrOs2W.

POSCAR file:
```
SrOs2W
1.0
7.472 0.000 0.000
0.000 7.472 0.000
0.000 0.000 6.107
Sr Os W
4 8 4
Cartesian
0.000 0.000 0.000 Sr
0.000 3.736 1.527 Sr
3.736 0.000 4.580 Sr
3.736 3.736 3.053 Sr
1.415 1.868 3.817 Os
1.868 5.150 5.343 Os
1.868 6.057 2.290 Os
2.321 1.868 0.763 Os
5.150 5.604 0.763 Os
5.604 1.415 2.290 Os
5.604 2.321 5.343 Os
6.057 5.604 3.817 Os
0.000 0.000 3.053 W
0.000 3.736 4.580 W
3.736 0.000 1.527 W
3.736 3.736 0.000 W
```

Values from the calculation:
Energy relative to the lowest polymorph listed for this composition: 2.322 eV/f.u.
Total DFT energy (no corrections): -8.239 eV per atom
Symmetry: I-42d, No. 122
Energy of formation from the pure elements: 1.03 eV per atom

Entry 10:
Density functional theory data (PBE) for a relaxed structure of SrOsW3.

POSCAR file:
```
SrOsW3
1.0
4.887 0.000 0.000
0.000 4.887 0.000
0.000 0.000 4.887
Sr Os W
1 1 3
Cartesian
0.000 0.000 0.000 Sr
2.444 2.444 2.444 Os
0.000 2.444 2.444 W
2.444 0.000 2.444 W
2.444 2.444 0.000 W
```

Values from the calculation:
Energy relative to the lowest polymorph listed for this composition: 0.000 eV/f.u.
Total DFT energy (no corrections): -8.745 eV per atom
Symmetry: Pm-3m, No. 221
Energy of formation from the pure elements: 1.61 eV per atom

Entry 11:
Density functional theory data (PBE) for a relaxed structure of SrOsW3.

POSCAR file:
```
SrOsW3
1.0
4.634 0.000 0.000
0.000 4.634 0.000
0.000 0.000 4.634
Sr Os W
1 1 3
Cartesian
0.000 0.000 0.000 Sr
2.317 2.317 2.317 Os
0.000 0.000 2.317 W
0.000 2.317 0.000 W
2.317 0.000 0.000 W
```

Values from the calculation:
Energy relative to the lowest polymorph listed for this composition: 11.674 eV/f.u.
Total DFT energy (no corrections): -6.410 eV per atom
Symmetry: Pm-3m, No. 221
Energy of formation from the pure elements: 3.94 eV per atom

Entry 12:
Density functional theory data (PBE) for a relaxed structure of Sr2OsW.

POSCAR file:
```
Sr2OsW
1.0
7.093 0.000 0.000
0.000 7.093 0.000
0.000 0.000 7.093
Sr Os W
8 4 4
Cartesian
0.000 0.000 0.000 Sr
0.000 3.546 3.546 Sr
1.773 1.773 1.773 Sr
1.773 5.320 5.320 Sr
3.546 0.000 3.546 Sr
3.546 3.546 0.000 Sr
5.320 1.773 5.320 Sr
5.320 5.320 1.773 Sr
0.000 0.000 3.546 Os
0.000 3.546 0.000 Os
3.546 0.000 0.000 Os
3.546 3.546 3.546 Os
1.773 1.773 5.320 W
1.773 5.320 1.773 W
5.320 1.773 1.773 W
5.320 5.320 5.320 W
```

Values from the calculation:
Energy relative to the lowest polymorph listed for this composition: 3.554 eV/f.u.
Total DFT energy (no corrections): -5.660 eV per atom
Symmetry: F-43m, No. 216
Energy of formation from the pure elements: 1.23 eV per atom

Entry 13:
Density functional theory data (PBE) for a relaxed structure of Sr2OsW.

POSCAR file:
```
Sr2OsW
1.0
4.039 0.000 0.000
0.000 4.039 0.000
0.000 0.000 5.315
Sr Os W
2 1 1
Cartesian
0.000 2.020 0.000 Sr
2.020 0.000 0.000 Sr
0.000 0.000 2.657 Os
2.020 2.020 2.657 W
```

Values from the calculation:
Energy relative to the lowest polymorph listed for this composition: 3.503 eV/f.u.
Total DFT energy (no corrections): -5.673 eV per atom
Symmetry: P4/mmm, No. 123
Energy of formation from the pure elements: 1.21 eV per atom

Entry 14:
Density functional theory data (PBE) for a relaxed structure of Sr3OsW.

POSCAR file:
```
Sr3OsW
1.0
5.658 0.000 0.000
0.000 5.658 0.000
0.000 0.000 5.658
Sr Os W
3 1 1
Cartesian
0.000 0.000 2.829 Sr
0.000 2.829 0.000 Sr
2.829 0.000 0.000 Sr
2.829 2.829 2.829 Os
0.000 0.000 0.000 W
```

Values from the calculation:
Energy relative to the lowest polymorph listed for this composition: 2.632 eV/f.u.
Total DFT energy (no corrections): -3.821 eV per atom
Symmetry: Pm-3m, No. 221
Energy of formation from the pure elements: 2.03 eV per atom

Entry 15:
Density functional theory data (PBE) for a relaxed structure of SrOs2W.

POSCAR file:
```
SrOs2W
1.0
10.549 0.000 0.000
0.000 2.856 0.000
-1.382 0.000 5.151
Sr Os W
2 4 2
Cartesian
0.000 0.000 0.000 Sr
5.275 1.428 0.000 Sr
2.527 1.428 1.522 Os
4.434 0.000 2.535 Os
7.801 0.000 1.522 Os
9.709 1.428 2.535 Os
1.282 0.000 3.351 W
6.557 1.428 3.351 W
```

Values from the calculation:
Energy relative to the lowest polymorph listed for this composition: 1.342 eV/f.u.
Total DFT energy (no corrections): -8.484 eV per atom
Symmetry: Cm, No. 8
Energy of formation from the pure elements: 0.79 eV per atom